A plane-wave DFT calculation with GGA+U was carried out for crystalline K2NdWO6 at its relaxed geometry.

## Properties
density of states at the Fermi level: 17.1 states/eV/cell
magnetic moment: 1.06 μB per formula unit
uncorrected energy: -6.612 eV/atom

The structure in CIF format:
```
data_K2NdWO6
_chemical_formula_sum 'K6 Nd3 W3 O18'
_cell_length_a 6.0987
_cell_length_b 6.0987
_cell_length_c 14.9394
_cell_angle_alpha 90.00
_cell_angle_beta 90.00
_cell_angle_gamma 120.00
_space_group_name_H-M_alt 'R -3'
_space_group_IT_number 148
_space_group_name_Hall '-R 3'
loop_
_atom_site_label
_atom_site_type_symbol
_atom_site_fract_x
_atom_site_fract_y
_atom_site_fract_z
K1 K 0.0000 0.0000 0.2500
Nd1 Nd 0.0000 0.0000 0.0000
W1 W 0.0000 0.0000 0.5000
O1 O 0.0315 0.5169 0.2421
```